Computed, not measured: an optimized crystal structure of ZnCoSb at the GGA-PBE level of DFT.

Total magnetization: 0.25 μB/f.u.
Fermi-level density of states: 2.83 states/eV/f.u.
VASP energy: -3.9607 eV/atom
Space-group type: P3m1, No. 156
Crystal system: trigonal

Lattice parameters (Å, degrees): 3.1780 3.1780 6.1000 90.00 90.00 120.00
Last column: magnetic moment on the atom in μB.
Atoms (fractional coordinates):
Co (0.0000, 0.0000, 0.9990)  0.28
Sb (0.6667, 0.3333, 0.2862)  -0.01
Zn (0.3333, 0.6667, 0.7147)  -0.01

=====

Computed, not measured: an optimized crystal structure of Ba5Sr2Zn2 at the GGA-PBE level of DFT.

Total magnetization: 0.00 μB/f.u.
Fermi-level density of states: 15.31 states/eV/f.u.
VASP energy: -1.7575 eV/atom
Space-group type: Cmce, No. 64
Crystal system: orthorhombic

Lattice parameters (Å, degrees): 8.4924 8.5201 12.9553 90.00 70.87 90.00
Atoms (fractional coordinates):
Ba (0.7098, 0.3206, 0.2199)
Ba (0.5000, 0.5000, 0.0000)
Ba (0.7902, 0.8206, 0.7801)
Ba (0.0703, 0.6794, 0.2199)
Ba (0.2098, 0.1794, 0.2199)
Ba (0.2902, 0.6794, 0.7801)
Ba (0.4297, 0.1794, 0.7801)
Ba (0.9297, 0.3206, 0.7801)
Ba (0.0000, 0.0000, 0.0000)
Ba (0.5703, 0.8206, 0.2199)
Sr (0.7353, 0.5000, 0.5293)
Sr (0.2647, 0.5000, 0.4707)
Sr (0.2353, 0.0000, 0.5293)
Sr (0.7647, 0.0000, 0.4707)
Zn (0.3928, 0.8916, 0.0000)
Zn (0.6072, 0.1084, 0.0000)
Zn (0.8928, 0.6084, 0.0000)
Zn (0.1072, 0.3916, 0.0000)

=====

Computed, not measured: an optimized crystal structure of Ba2Li2Ir at the GGA-PBE level of DFT.

Total magnetization: 0.00 μB/f.u.
Fermi-level density of states: 3.00 states/eV/f.u.
VASP energy: -3.3102 eV/atom
Space-group type: Immm, No. 71
Crystal system: orthorhombic

Lattice parameters (Å, degrees): 5.1128 5.0650 6.6141 67.49 67.26 90.00
Atoms (fractional coordinates):
Ba (0.6732, 0.1732, 0.6536)
Ba (0.3268, 0.8268, 0.3464)
Li (0.2219, 0.5000, 0.0000)
Li (0.7781, 0.5000, 0.0000)
Ir (0.0000, 0.0000, 0.0000)

=====

Computed, not measured: an optimized crystal structure of TaRu at the GGA-PBE level of DFT.

Total magnetization: 0.79 μB/f.u.
Fermi-level density of states: 2.74 states/eV/f.u.
VASP energy: -10.5790 eV/atom
Space-group type: Fd-3m, No. 227
Crystal system: cubic

Lattice parameters (Å, degrees): 4.4943 4.4943 4.4943 59.96 59.96 59.96
Last column: magnetic moment on the atom in μB.
Atoms (fractional coordinates):
Ta (0.3750, 0.3750, 0.3750)  -0.03
Ta (0.6250, 0.6250, 0.6250)  -0.03
Ru (0.8752, 0.8752, 0.8752)  0.79
Ru (0.1248, 0.1248, 0.1248)  0.79

=====

Computed, not measured: an optimized crystal structure of Er5Hg2RuRh2 at the GGA-PBE level of DFT.

Total magnetization: 0.00 μB/f.u.
Fermi-level density of states: 7.16 states/eV/f.u.
VASP energy: -5.2692 eV/atom
Space-group type: P4/mbm, No. 127
Crystal system: tetragonal

Lattice parameters (Å, degrees): 3.5054 11.4611 11.4611 90.00 90.00 90.00
Atoms (fractional coordinates):
Rh (0.0000, 0.8682, 0.3682)
Rh (0.0000, 0.3682, 0.1318)
Rh (0.0000, 0.1318, 0.6318)
Rh (0.0000, 0.6318, 0.8682)
Ru (0.0000, 0.0000, 0.0000)
Ru (0.0000, 0.5000, 0.5000)
Hg (0.0000, 0.8262, 0.6738)
Hg (0.0000, 0.1738, 0.3262)
Hg (0.0000, 0.6738, 0.1738)
Hg (0.0000, 0.3262, 0.8262)
Er (0.5000, 0.0000, 0.5000)
Er (0.5000, 0.4237, 0.3083)
Er (0.5000, 0.5000, 0.0000)
Er (0.5000, 0.8083, 0.9237)
Er (0.5000, 0.9237, 0.1917)
Er (0.5000, 0.6917, 0.4237)
Er (0.5000, 0.3083, 0.5763)
Er (0.5000, 0.0763, 0.8083)
Er (0.5000, 0.1917, 0.0763)
Er (0.5000, 0.5763, 0.6917)

=====

Computed, not measured: an optimized crystal structure of Rb2TcPtCl6 at the GGA-PBE level of DFT.

Total magnetization: 3.00 μB/f.u.
Fermi-level density of states: 0.16 states/eV/f.u.
VASP energy: -3.8399 eV/atom
Space-group type: I4/mmm, No. 139
Crystal system: tetragonal

Lattice parameters (Å, degrees): 7.7924 7.7924 7.1439 56.95 56.95 90.00
Last column: magnetic moment on the atom in μB.
Atoms (fractional coordinates):
Rb (0.7500, 0.2500, 0.5000)  0.00
Rb (0.2500, 0.7500, 0.5000)  0.00
Cl (0.7207, 0.7207, 0.0000)  0.02
Cl (0.7207, 0.2793, 0.0000)  0.02
Cl (0.2793, 0.7207, 0.0000)  0.02
Cl (0.7552, 0.7552, 0.4895)  0.10
Cl (0.2793, 0.2793, 0.0000)  0.02
Cl (0.2448, 0.2448, 0.5105)  0.10
Tc (0.5000, 0.5000, 0.0000)  2.17
Pt (0.0000, 0.0000, 0.0000)  0.20